Entry 1:
Pu3ZnRh5 | Alexandria via LeMat-Bulk | PBE | optimized geometry; DOS(E_F) = 21.55 states/eV/f.u.; energy relative to the elements = -39.95 kJ/mol of atoms; V = 325.1 Å³ per cell; M_tot = 1.556 μB/atom; space group = P6_3/mcm; ρ = 13.40 Mg/m³; raw total energy = -9.4171 eV/atom
1.0
-0.3548 1.8533 5.3876
-1.7465 -7.5225 2.4726
7.7169 2.4668 -0.3403
Rh Zn Pu
10 2 6
direct
0.7500 0.2867 0.2867
0.2500 0.2867 0.0000
0.2500 0.0000 0.2867
0.5000 0.6667 0.3333
0.0000 0.3333 0.6667
0.7500 0.7133 0.0000
0.0000 0.6667 0.3333
0.5000 0.3333 0.6667
0.7500 0.0000 0.7133
0.2500 0.7133 0.7133
0.0000 0.0000 0.0000
0.5000 0.0000 0.0000
0.7500 0.3669 0.0000
0.7500 0.0000 0.3669
0.2500 0.6331 0.0000
0.2500 0.0000 0.6331
0.2500 0.3669 0.3669
0.7500 0.6331 0.6331

Entry 2:
PuZn5Rh6 | Alexandria via LeMat-Bulk | PBE | optimized geometry; DOS(E_F) = 12.60 states/eV/f.u.; energy relative to the elements = -41.88 kJ/mol of atoms; V = 177.1 Å³ per cell; M_tot = 0.288 μB/atom; space group = Cmmm; ρ = 11.14 Mg/m³; raw total energy = -5.8350 eV/atom
1.0
1.1460 -3.2780 2.6396
2.5946 -2.9694 -4.8140
6.2503 1.3334 2.5462
Zn Rh Pu
5 6 1
direct
0.6669 0.5000 0.6663
0.3331 0.5000 0.3337
0.0000 0.5000 0.0000
0.3289 0.0000 0.3423
0.6711 0.0000 0.6577
0.8315 0.2548 0.3370
0.8315 0.7452 0.3370
0.1685 0.2548 0.6630
0.5000 0.7394 0.0000
0.1685 0.7452 0.6630
0.5000 0.2606 0.0000
0.0000 0.0000 0.0000

- What is the M_tot in the second record?
  0.288 μB/atom

- Look up the V of the second one.
  177.1 Å³ per cell

- The highest energy relative to the elements belongs to which entry?
  Pu3ZnRh5

- Which of these has the lowest raw total energy?
  Pu3ZnRh5